# 1
Entry from Alexandria via LeMat-Bulk: a relaxed structure of Dy3Ga2Ag (PBE-GGA).

a b c (Å): 5.0905 5.0905 12.5081
angles (deg): 90.00 90.00 120.00
Space group P-3m1 (No. 164)
Inequivalent atoms, fractional coordinates:
Dy: 0.0000 0.0000 0.2452 x2
Dy: 0.3333 0.6667 0.4164 x2
Dy: 0.3333 0.6667 0.9201 x2
Ga: 0.0000 0.0000 0.0000 x1
Ga: 0.0000 0.0000 0.5000 x1
Ga: 0.3333 0.6667 0.1714 x2
Ag: 0.3333 0.6667 0.6724 x2

Values from the calculation:
Energy relative to the elements ... -0.493 eV/atom
Density of states at the Fermi level ... 10.158 states/eV/cell

=====

# 2
Entry from Alexandria via LeMat-Bulk: a relaxed structure of Dy2GaAg3 (PBE-GGA).

a b c (Å): 3.694 4.296 17.426
angles (deg): 90.00 90.00 90.00
Space group Imm2 (No. 44)
Inequivalent atoms, fractional coordinates:
Dy: 0.000 0.000 0.000 x2
Dy: 0.000 0.500 0.236 x2
Ga: 0.000 0.000 0.578 x2
Ag: 0.000 0.000 0.427 x2
Ag: 0.000 0.500 0.657 x2
Ag: 0.000 0.500 0.814 x2

Values from the calculation:
Energy relative to the elements ... -0.261 eV/atom
Density of states at the Fermi level ... 7.685 states/eV/cell

=====

# 3
Entry from Alexandria via LeMat-Bulk: a relaxed structure of Dy8Ga2Ag (PBE-GGA).

a b c (Å): 18.175 5.017 6.749
angles (deg): 90.00 101.73 90.00
Space group C2/m (No. 12)
Inequivalent atoms, fractional coordinates:
Dy: 0.026 0.000 0.264 x4
Dy: 0.092 0.500 0.962 x4
Dy: 0.161 0.500 0.467 x4
Dy: 0.204 0.000 0.812 x4
Ga: 0.192 0.000 0.247 x4
Ag: 0.000 0.500 0.500 x2

Values from the calculation:
Energy relative to the elements ... -0.235 eV/atom
Density of states at the Fermi level ... 25.194 states/eV/cell

=====

# 4
Entry from Alexandria via LeMat-Bulk: a relaxed structure of Dy7Ga2Ag2 (PBE-GGA).

a b c (Å): 7.648 10.822 7.457
angles (deg): 90.00 90.00 90.00
Space group Cmmm (No. 65)
Inequivalent atoms, fractional coordinates:
Dy: 0.000 0.000 0.000 x2
Dy: 0.000 0.500 0.270 x4
Dy: 0.250 0.250 0.285 x8
Ga: 0.168 0.000 0.500 x4
Ag: 0.000 0.293 0.000 x4

Values from the calculation:
Energy relative to the elements ... -0.042 eV/atom
Density of states at the Fermi level ... 25.805 states/eV/cell

=====

# 5
Entry from Alexandria via LeMat-Bulk: a relaxed structure of Dy4Ga12Ag (PBE-GGA).

a b c (Å): 8.691 8.691 8.691
angles (deg): 90.00 90.00 90.00
Space group Im-3m (No. 229)
Inequivalent atoms, fractional coordinates:
Dy: 0.250 0.250 0.250 x8
Ga: 0.000 0.000 0.304 x12
Ga: 0.000 0.250 0.500 x12
Ag: 0.000 0.000 0.000 x2

Values from the calculation:
Energy relative to the elements ... -0.508 eV/atom
Density of states at the Fermi level ... 14.523 states/eV/cell

=====

# 6
Entry from Alexandria via LeMat-Bulk: a relaxed structure of Dy2GaAg3 (PBE-GGA).

a b c (Å): 6.821 9.358 16.323
angles (deg): 90.00 90.00 90.00
Space group Fmmm (No. 69)
Inequivalent atoms, fractional coordinates:
Dy: 0.247 0.000 0.000 x8
Dy: 0.250 0.250 0.250 x8
Ga: 0.000 0.000 0.334 x8
Ag: 0.000 0.000 0.171 x8
Ag: 0.000 0.244 0.415 x16

Values from the calculation:
Energy relative to the elements ... -0.356 eV/atom
Density of states at the Fermi level ... 28.678 states/eV/cell